w | A relaxed V2BiF crystal, computed with PBE with a Hubbard U.

Lattice parameters (Å, degrees): 4.7626 4.7626 4.7626 60.00 60.00 60.00
Closest atoms and distances in Å follow each position.
Element x y z (fractional)
V 0.7500 0.7500 0.7500  4 Bi 2.92, 4 F 2.92
V 0.2500 0.2500 0.2500  4 Bi 2.92, 4 F 2.92
F 0.0000 0.0000 0.0000  8 V 2.92
Bi 0.5000 0.5000 0.5000  8 V 2.92

Summary:
crystal system: cubic
total moment: 1.50 μB/atom

---

x | A relaxed V2BiF crystal, computed with PBE with a Hubbard U.

Lattice parameters (Å, degrees): 5.2617 5.2617 7.4692 69.38 69.38 90.00
Closest atoms and distances in Å follow each position.
Element x y z (fractional)
F 0.2500 0.7500 0.5000  4 V 2.12
Bi 0.0000 0.0000 0.0000  4 V 3.05
F 0.5000 0.5000 0.0000  4 V 2.12
V 0.4511 0.1250 0.2500  2 F 2.12
V 0.3750 0.5489 0.7500  2 F 2.12
V 0.2989 0.6250 0.2500  2 F 2.12
Bi 0.7500 0.2500 0.5000  4 V 3.05
V 0.8750 0.7011 0.7500  2 F 2.12

Summary:
crystal system: tetragonal
total moment: 1.50 μB/atom

---

Energetically preferred structure: x | next structure: +391 meV/atom